VASP calculation (PBE) on crystalline NdZrAu2 at its relaxed geometry.

Output
Total magnetic moment (μB/f.u.): 0.00
DFT formation energy (eV/atom): -0.409
Energy (eV for the cell shown): -21.51
Space group: R-3m (166)

The structure in POSCAR format:
```
NdZrAu2
1.0
-3.526 -0.265 -1.600
-0.364 -0.924 -3.752
-1.583 -7.903 0.093
Nd Zr Au
1 1 2
Cartesian
-2.736 -4.547 -2.630
0.000 0.000 0.000
-4.112 -7.021 -3.894
-1.361 -2.072 -1.365
```


VASP calculation (PBE) on crystalline NdZrAu at its relaxed geometry.

Output
Total magnetic moment (μB/f.u.): 0.00
DFT formation energy (eV/atom): -0.363
Energy (eV for the cell shown): -17.68
Space group: I4mm (107)

The structure in POSCAR format:
```
NdZrAu
1.0
3.501 0.000 0.000
0.000 3.501 0.000
-1.751 -1.751 6.131
Zr Au Nd
1 1 1
Cartesian
1.751 1.751 2.329
0.000 0.000 3.821
1.751 1.751 6.111
```